MgInHg (SCAN, single point on PBEsol structure); symmetry = F-43m (216); magnetization = 0.0 μB per cell; formation enthalpy at 0 K = -0.2795 eV/atom
1.0
6.6245 0.0000 0.0000
0.0000 6.6245 0.0000
0.0000 0.0000 6.6245
Mg In Hg
4 4 4
Direct
0.0000 0.0000 0.0000
0.0000 0.5000 0.5000
0.5000 0.0000 0.5000
0.5000 0.5000 0.0000
0.0000 0.0000 0.5000
0.0000 0.5000 0.0000
0.5000 0.0000 0.0000
0.5000 0.5000 0.5000
0.2500 0.2500 0.7500
0.2500 0.7500 0.2500
0.7500 0.2500 0.2500
0.7500 0.7500 0.7500